Record 1
VASP calculation (PBE-GGA) on a relaxed structure of LuZrGaFe.

Cell and atoms, written as POSCAR:
```
LuZrGaFe
1.0
1.061 -2.732 3.554
-1.201 1.216 4.278
-3.323 -2.308 2.203
Fe Zr Lu Ga
1 1 1 1
Cartesian
-2.597 -2.868 7.527
-1.731 -1.912 5.018
-0.866 -0.956 2.509
0.000 0.000 0.000
```

Properties
As for the polymorph energy (0 for the lowest one): 0.0 meV per atom. The symmetry is F-43m. The total magnetization is 0.0 Bohr magnetons per cell.



Record 2
VASP calculation (PBE-GGA) on a relaxed structure of DyHo2Mg3AgHg2.

Cell and atoms, written as POSCAR:
```
DyHo2Mg3AgHg2
1.0
4.128 0.000 0.000
0.000 6.739 3.889
0.000 -6.739 3.889
Ho Ag Mg Hg Dy
2 1 3 2 1
Cartesian
0.000 -3.979 2.296
0.000 3.979 2.296
0.000 0.000 0.000
2.064 0.000 5.864
2.064 1.658 0.957
2.064 -1.658 0.957
2.064 -2.248 3.889
2.064 2.248 3.889
0.000 0.000 3.186
```

Properties
The symmetry is Amm2. The calculation puts the total energy at -2.793 eV/atom. The total magnetization is 0.0 Bohr magnetons per cell.



Record 3
VASP calculation (PBE-GGA) on a relaxed structure of Tb2AgAuS4.

Cell and atoms, written as POSCAR:
```
Tb2AgAuS4
1.0
4.123 0.000 0.000
-2.061 3.570 0.000
0.000 0.000 14.941
S Tb Au Ag
4 2 1 1
Cartesian
0.000 0.000 12.636
0.000 2.380 5.112
0.000 2.380 9.829
0.000 0.000 2.306
2.061 1.190 11.238
2.061 1.190 3.703
0.000 0.000 0.000
0.000 2.380 7.471
```

Properties
The symmetry is P-6m2. The calculation puts the total energy at -5.287 eV/atom. The total magnetization is 0.0 Bohr magnetons per cell.



Record 4
VASP calculation (PBE-GGA) on a relaxed structure of ReW2.

Cell and atoms, written as POSCAR:
```
ReW2
1.0
-3.182 -7.516 5.253
9.051 -1.685 3.071
-0.770 3.099 3.968
W Re
20 10
Cartesian
7.651 -3.550 4.256
0.486 -4.907 5.550
2.817 -0.975 4.577
4.724 -3.963 7.280
4.593 -6.722 7.787
4.210 -5.183 9.757
3.536 -5.543 5.015
-0.610 -7.487 5.729
4.615 -1.194 6.743
0.098 -3.347 7.548
2.334 -3.658 3.310
0.890 -0.918 2.536
-1.781 -5.651 4.068
0.508 0.621 4.506
6.480 -1.714 2.595
5.002 -2.755 4.745
2.283 -5.126 7.716
7.414 -0.732 5.279
0.377 -2.139 5.012
-2.314 -5.369 7.014
7.182 -2.816 6.862
2.098 -7.402 6.188
-2.082 -3.285 5.431
6.123 -5.484 5.470
0.000 0.000 0.000
2.550 -3.051 6.146
-0.151 -6.312 8.169
3.772 -1.799 2.136
-0.253 -3.717 2.854
5.251 0.210 4.123
```

Properties
As for the polymorph energy (0 for the lowest one): 95.2 meV per atom. The energy relative to the elements comes out at 0.12 eV per atom. The symmetry is P4_2/mnm. The total magnetization is 0.0 Bohr magnetons per cell.



Record 5
VASP calculation (PBE-GGA) on a relaxed structure of Nb3O7F.

Cell and atoms, written as POSCAR:
```
Nb3O7F
1.0
-2.665 0.244 -2.316
0.393 -5.827 -1.066
-3.852 0.517 4.487
O Nb F
7 3 1
Cartesian
-1.332 0.122 -1.158
-0.394 -2.313 0.210
-3.065 -2.997 3.211
-2.506 -3.364 -0.175
-1.521 -0.628 1.685
-1.938 -4.682 1.737
-3.618 -1.702 1.280
-1.136 -2.791 -1.691
-3.258 0.380 1.086
-1.730 -2.655 1.711
0.000 0.000 0.000
```

Properties
The symmetry is Cmmm. The calculation puts the total energy at -7.622 eV/atom. The total magnetization is 1.2 Bohr magnetons per cell.



Record 6
VASP calculation (PBE-GGA) on a relaxed structure of GdHoNb2Ge2.

Cell and atoms, written as POSCAR:
```
GdHoNb2Ge2
1.0
-2.666 1.866 2.382
-0.799 -3.496 1.845
5.709 1.463 5.243
Ge Nb Gd Ho
2 2 1 1
Cartesian
1.403 0.360 1.288
2.583 0.291 6.076
-1.329 0.934 1.195
-0.395 -1.747 0.927
3.689 0.946 3.387
0.271 -0.301 3.953
```

Properties
The symmetry is P4mm. The calculation puts the total energy at -7.082 eV/atom. The total magnetization is 1.2 Bohr magnetons per cell.



Record 7
VASP calculation (PBE-GGA) on a relaxed structure of HfMgFeAs.

Cell and atoms, written as POSCAR:
```
HfMgFeAs
1.0
0.000 3.212 3.212
3.212 0.000 3.212
3.212 3.212 0.000
Fe Hf Mg As
1 1 1 1
Cartesian
4.818 4.818 4.818
1.606 1.606 1.606
3.212 3.212 3.212
0.000 0.000 0.000
```

Properties
As for the polymorph energy (0 for the lowest one): 103.1 meV per atom. The symmetry is F-43m. The total magnetization is 1.4 Bohr magnetons per cell.



Record 8
VASP calculation (PBE-GGA) on a relaxed structure of PrPaPO.

Cell and atoms, written as POSCAR:
```
PrPaPO
1.0
4.230 0.000 0.000
0.000 4.230 0.000
0.000 0.000 9.203
P Pr Pa O
2 2 2 2
Cartesian
2.115 0.000 2.476
0.000 2.115 6.727
0.000 0.000 4.602
2.115 2.115 4.602
2.115 0.000 8.012
0.000 2.115 1.191
0.000 0.000 0.000
2.115 2.115 0.000
```

Properties
As for the polymorph energy (0 for the lowest one): 92.5 meV per atom. The symmetry is P4/nmm. The total magnetization is 2.0 Bohr magnetons per cell.



Record 9
VASP calculation (PBE-GGA) on a relaxed structure of HfNbFeCu.

Cell and atoms, written as POSCAR:
```
HfNbFeCu
1.0
0.252 0.242 4.380
0.613 3.887 1.954
-3.264 1.847 2.290
Cu Fe Nb Hf
1 1 1 1
Cartesian
-1.799 4.482 6.468
-1.199 2.988 4.312
-0.600 1.494 2.156
0.000 0.000 0.000
```

Properties
As for the polymorph energy (0 for the lowest one): 176.5 meV per atom. The energy relative to the elements comes out at 0.14 eV per atom. The symmetry is F-43m. The total magnetization is 0.0 Bohr magnetons per cell.



Record 10
VASP calculation (PBE-GGA) on a relaxed structure of Ta2ReO4.

Cell and atoms, written as POSCAR:
```
Ta2ReO4
1.0
4.417 -4.419 0.000
-4.417 0.000 -4.419
4.417 4.419 0.000
Ta O Re
4 8 2
Cartesian
3.313 1.105 -1.105
5.521 -1.105 -1.105
-1.104 -1.105 -3.314
1.104 1.105 -3.314
1.186 3.232 -3.232
3.232 1.187 -3.232
-1.023 1.023 -3.396
1.186 1.187 -1.187
5.440 1.023 -1.023
3.394 -1.023 -1.023
1.023 -1.023 -3.396
3.232 3.232 -1.187
0.000 0.000 0.000
2.209 -2.209 -2.209
```

Properties
The symmetry is Fd-3m. The calculation puts the total energy at -9.024 eV/atom. The total magnetization is 4.4 Bohr magnetons per cell.



Record 11
VASP calculation (PBE-GGA) on a relaxed structure of Sm4CI2Cl3.

Cell and atoms, written as POSCAR:
```
Sm4CI2Cl3
1.0
-2.668 6.956 -5.425
-5.145 7.259 -2.402
5.805 3.677 4.390
Cl Sm I C
3 4 2 1
Cartesian
-1.004 8.946 -1.719
-5.552 12.389 -5.791
3.544 5.502 2.354
4.555 2.985 3.435
2.603 8.552 1.277
-6.563 14.906 -6.872
-4.610 9.339 -4.714
-2.810 14.175 -3.722
0.802 3.716 0.285
-3.906 7.107 -3.914
```

Properties
The symmetry is C2/m. The calculation puts the total energy at -5.113 eV/atom. The total magnetization is 0.1 Bohr magnetons per cell.



Record 12
VASP calculation (PBE-GGA) on a relaxed structure of Zr2Cl13.

Cell and atoms, written as POSCAR:
```
Zr2Cl13
1.0
7.301 0.000 0.000
-0.753 7.952 0.000
-2.405 -3.157 8.504
Zr Cl
2 13
Cartesian
4.229 4.484 5.942
-0.086 0.311 2.562
0.000 0.000 0.000
-0.730 4.231 6.122
3.206 2.380 6.077
0.936 2.415 2.427
2.872 -2.022 6.006
4.189 4.416 3.468
-0.880 5.605 2.785
1.271 6.817 2.498
4.873 0.563 2.382
5.022 -0.811 5.719
2.732 4.813 0.035
1.410 -0.018 8.469
-0.047 0.378 5.036
```

Properties
The symmetry is P-1. The calculation puts the total energy at -3.790 eV/atom. The total magnetization is 1.0 Bohr magnetons per cell.



Question: Number 7 is which compound?
Answer: HfMgFeAs